A PBEsol-optimized structure of K4UO5, computed with SCAN.

Lattice parameters (Å, degrees): 6.432 6.442 9.679 101.57 108.82 102.29
Fractional positions:
1 K 0.000 0.000 0.000
2 K 0.000 0.500 0.500
3 K 0.203 0.089 0.697
4 K 0.402 0.205 0.403
5 K 0.419 0.706 0.902
6 K 0.581 0.294 0.098
7 K 0.598 0.795 0.597
8 K 0.797 0.911 0.303
9 U 0.190 0.601 0.196
10 U 0.810 0.399 0.804
11 O 0.028 0.327 0.236
12 O 0.145 0.396 0.965
13 O 0.178 0.797 0.390
14 O 0.358 0.875 0.158
15 O 0.495 0.438 0.693
16 O 0.505 0.562 0.307
17 O 0.642 0.125 0.842
18 O 0.822 0.203 0.610
19 O 0.855 0.604 0.035
20 O 0.972 0.673 0.764

The raw formation energy comes out at -2489.1 meV per atom. Its total energy is -19.289 eV/atom.


A PBEsol-optimized structure of KUVO6, computed with SCAN.

Lattice parameters (Å, degrees): 6.754 8.290 10.421 90.00 100.95 90.00
Fractional positions:
1 K 0.028 0.209 0.335
2 K 0.028 0.291 0.835
3 K 0.972 0.709 0.165
4 K 0.972 0.791 0.665
5 U 0.488 0.021 0.180
6 U 0.488 0.479 0.680
7 U 0.512 0.521 0.320
8 U 0.512 0.979 0.820
9 V 0.383 0.646 0.948
10 V 0.383 0.854 0.448
11 V 0.617 0.146 0.552
12 V 0.617 0.354 0.052
13 O 0.145 0.627 0.950
14 O 0.145 0.873 0.450
15 O 0.221 0.072 0.140
16 O 0.221 0.428 0.640
17 O 0.244 0.031 0.776
18 O 0.244 0.469 0.276
19 O 0.407 0.710 0.784
20 O 0.407 0.790 0.284
21 O 0.457 0.655 0.506
22 O 0.457 0.845 0.006
23 O 0.464 0.062 0.395
24 O 0.464 0.438 0.895
25 O 0.536 0.562 0.105
26 O 0.536 0.938 0.605
27 O 0.543 0.155 0.994
28 O 0.543 0.345 0.494
29 O 0.593 0.210 0.716
30 O 0.593 0.290 0.216
31 O 0.756 0.531 0.724
32 O 0.756 0.969 0.224
33 O 0.779 0.572 0.360
34 O 0.779 0.928 0.860
35 O 0.855 0.127 0.550
36 O 0.855 0.373 0.050

The raw formation energy comes out at -2905.4 meV per atom. Its total energy is -21.431 eV/atom.


What did the second record say?
A PBEsol-optimized structure of KUVO6, computed with SCAN.

Lattice parameters (Å, degrees): 6.754 8.290 10.421 90.00 100.95 90.00
Fractional positions:
1 K 0.028 0.209 0.335
2 K 0.028 0.291 0.835
3 K 0.972 0.709 0.165
4 K 0.972 0.791 0.665
5 U 0.488 0.021 0.180
6 U 0.488 0.479 0.680
7 U 0.512 0.521 0.320
8 U 0.512 0.979 0.820
9 V 0.383 0.646 0.948
10 V 0.383 0.854 0.448
11 V 0.617 0.146 0.552
12 V 0.617 0.354 0.052
13 O 0.145 0.627 0.950
14 O 0.145 0.873 0.450
15 O 0.221 0.072 0.140
16 O 0.221 0.428 0.640
17 O 0.244 0.031 0.776
18 O 0.244 0.469 0.276
19 O 0.407 0.710 0.784
20 O 0.407 0.790 0.284
21 O 0.457 0.655 0.506
22 O 0.457 0.845 0.006
23 O 0.464 0.062 0.395
24 O 0.464 0.438 0.895
25 O 0.536 0.562 0.105
26 O 0.536 0.938 0.605
27 O 0.543 0.155 0.994
28 O 0.543 0.345 0.494
29 O 0.593 0.210 0.716
30 O 0.593 0.290 0.216
31 O 0.756 0.531 0.724
32 O 0.756 0.969 0.224
33 O 0.779 0.572 0.360
34 O 0.779 0.928 0.860
35 O 0.855 0.127 0.550
36 O 0.855 0.373 0.050

The raw formation energy comes out at -2905.4 meV per atom. Its total energy is -21.431 eV/atom.


Question: What is the formula in the second record?
Answer: KUVO6